w | TlPt2F (PBE, relaxed); spin magnetization = 0.00 μB per formula unit; crystal system = tetragonal
1.0
-2.311 -2.774 0.981
0.591 -1.660 -3.300
7.015 -7.363 2.839
Pt F Tl
4 2 2
direct
0.875 0.873 0.750
0.375 0.377 0.750
0.127 0.625 0.250
0.623 0.125 0.250
0.500 0.500 0.000
0.250 0.750 0.500
0.750 0.250 0.500
0.000 0.000 0.000



x | TlPt2F (PBE, relaxed); spin magnetization = 0.00 μB per formula unit; crystal system = cubic
1.0
0.000 3.205 3.205
3.205 0.000 3.205
3.205 3.205 0.000
Tl Pt F
1 2 1
direct
0.500 0.500 0.500
0.250 0.250 0.250
0.750 0.750 0.750
0.000 0.000 0.000



Stability check: which of them is most stable? w.